1.
A geometry-optimized AcTb2Pm8 structure. Source: Alexandria via LeMat-Bulk, functional PBE-GGA.

Calculated values
E above lowest polymorph = 97.5 meV per atom
Space-group type = Immm, No. 71

Cell lengths 9.5779, 9.5779, 9.5779 Å; angles 145.81, 127.18, 64.44 degrees
Sites, in units of the cell vectors:
Ac: 0.0000 0.0000 0.0000
Tb: 0.2998 0.2998 0.0000
Tb: 0.7002 0.7002 0.0000
Pm: 0.1526 0.8550 0.2976
Pm: 0.1606 0.6606 0.5000
Pm: 0.2977 0.5000 0.7977
Pm: 0.4425 0.1450 0.2976
Pm: 0.5575 0.8550 0.7024
Pm: 0.7023 0.5000 0.2023
Pm: 0.8394 0.3394 0.5000
Pm: 0.8474 0.1450 0.7024



2.
A geometry-optimized Ac2TbPm8 structure. Source: Alexandria via LeMat-Bulk, functional PBE-GGA.

Calculated values
Space-group type = C2/m, No. 12

Cell lengths 10.6063, 10.6063, 5.7565 Å; angles 93.15, 93.15, 39.41 degrees
Sites, in units of the cell vectors:
Ac: 0.2188 0.2188 0.2572
Ac: 0.7812 0.7812 0.7428
Tb: 0.5000 0.5000 0.0000
Pm: 0.0442 0.0442 0.2343
Pm: 0.1142 0.6416 0.2680
Pm: 0.3241 0.3241 0.7750
Pm: 0.3584 0.8858 0.7320
Pm: 0.6416 0.1142 0.2680
Pm: 0.6759 0.6759 0.2250
Pm: 0.8858 0.3584 0.7320
Pm: 0.9558 0.9558 0.7657



3.
A geometry-optimized Ac2Tb5Pm12 structure. Source: Alexandria via LeMat-Bulk, functional PBE-GGA.

Calculated values
E above lowest polymorph = 0.0 meV per atom
Space-group type = C2/m, No. 12

Cell lengths 10.8062, 10.8062, 6.3578 Å; angles 99.55, 99.55, 66.23 degrees
Sites, in units of the cell vectors:
Ac: 0.2191 0.7809 0.0000
Ac: 0.7809 0.2191 0.0000
Tb: 0.1736 0.1736 0.8897
Tb: 0.2825 0.2825 0.4409
Tb: 0.5000 0.5000 0.5000
Tb: 0.7175 0.7175 0.5591
Tb: 0.8264 0.8264 0.1103
Pm: 0.0503 0.5356 0.7828
Pm: 0.0801 0.0801 0.3601
Pm: 0.1600 0.6350 0.3917
Pm: 0.3650 0.8400 0.6083
Pm: 0.3910 0.3910 0.9867
Pm: 0.4644 0.9497 0.2172
Pm: 0.5356 0.0503 0.7828
Pm: 0.6090 0.6090 0.0133
Pm: 0.6350 0.1600 0.3917
Pm: 0.8400 0.3650 0.6083
Pm: 0.9199 0.9199 0.6399
Pm: 0.9497 0.4644 0.2172



4.
A geometry-optimized Ac10TbPm4 structure. Source: Alexandria via LeMat-Bulk, functional PBE-GGA.

Calculated values
Space-group type = I4/m, No. 87

Cell lengths 10.1871, 10.1871, 10.1871 Å; angles 99.57, 99.57, 131.88 degrees
Sites, in units of the cell vectors:
Ac: 0.0496 0.1494 0.7010
Ac: 0.1494 0.4484 0.0998
Ac: 0.2500 0.7500 0.5000
Ac: 0.3486 0.0496 0.9002
Ac: 0.4484 0.3486 0.2990
Ac: 0.5516 0.6514 0.7010
Ac: 0.6514 0.9504 0.0998
Ac: 0.7500 0.2500 0.5000
Ac: 0.8506 0.5516 0.9002
Ac: 0.9504 0.8506 0.2990
Tb: 0.0000 0.0000 0.0000
Pm: 0.2002 0.6001 0.8003
Pm: 0.3999 0.2002 0.6001
Pm: 0.6001 0.7998 0.3999
Pm: 0.7998 0.3999 0.1997



5.
A geometry-optimized Ac2Tb4Pm5 structure. Source: Alexandria via LeMat-Bulk, functional PBE-GGA.

Calculated values
Space-group type = P-1, No. 2

Cell lengths 6.3579, 8.2231, 8.2377 Å; angles 107.44, 97.26, 104.83 degrees
Sites, in units of the cell vectors:
Ac: 0.1382 0.0470 0.2313
Ac: 0.8618 0.9530 0.7687
Tb: 0.0485 0.6750 0.4086
Tb: 0.3188 0.7677 0.8625
Tb: 0.6812 0.2323 0.1375
Tb: 0.9515 0.3250 0.5914
Pm: 0.2270 0.4141 0.0459
Pm: 0.4104 0.1406 0.6847
Pm: 0.5000 0.5000 0.5000
Pm: 0.5896 0.8594 0.3153
Pm: 0.7730 0.5859 0.9541



6.
A geometry-optimized Ac5Tb2Pm6 structure. Source: Alexandria via LeMat-Bulk, functional PBE-GGA.

Calculated values
Space-group type = Pbam, No. 55

Cell lengths 11.9976, 21.9605, 3.8046 Å; angles 90.00, 90.00, 90.00 degrees
Sites, in units of the cell vectors:
Ac: 0.0000 0.0000 0.0000
Ac: 0.0675 0.4245 0.0000
Ac: 0.1449 0.7230 0.0000
Ac: 0.3551 0.2230 0.0000
Ac: 0.4325 0.9245 0.0000
Ac: 0.5000 0.5000 0.0000
Ac: 0.5675 0.0755 0.0000
Ac: 0.6449 0.7770 0.0000
Ac: 0.8551 0.2770 0.0000
Ac: 0.9325 0.5755 0.0000
Tb: 0.1167 0.2833 0.5000
Tb: 0.3833 0.7833 0.5000
Tb: 0.6167 0.2167 0.5000
Tb: 0.8833 0.7167 0.5000
Pm: 0.0838 0.1525 0.0000
Pm: 0.1624 0.8807 0.5000
Pm: 0.2253 0.5567 0.5000
Pm: 0.2747 0.0567 0.5000
Pm: 0.3376 0.3807 0.5000
Pm: 0.4162 0.6525 0.0000
Pm: 0.5838 0.3475 0.0000
Pm: 0.6624 0.6193 0.5000
Pm: 0.7253 0.9433 0.5000
Pm: 0.7747 0.4433 0.5000
Pm: 0.8376 0.1193 0.5000
Pm: 0.9162 0.8475 0.0000



The calculation returns the following spin magnetization values, one per record and in order: 0.00, 0.00, 0.00, 0.00, 0.00, 0.00 μB per cell.
The calculation returns the following formation energy values, one per record and in order: 0.12, 0.19, 0.11, 0.58, 0.04, 0.08 eV per atom.
The calculation returns the following Fermi-level density of states values, one per record and in order: 1.41, 1.50, 1.42, 1.57, 1.48, 1.48 states/eV per atom.